DFT (PBE) results for a relaxed structure of MnCrIrS.

E_form (uncorrected) = -0.052 eV/atom
excess energy over the best structure of this formula in the dataset = 0.117 eV per atom

abc: 3.4528 2.9292 10.4873
angles: 90.00 90.00 90.00
Space group Amm2 (No. 38)
Inequivalent atoms, fractional coordinates:
Mn 0.0000 0.0000 0.0000 [2 per cell]
Cr 0.5000 0.0000 0.3528 [2 per cell]
Ir 0.5000 0.0000 0.6176 [2 per cell]
S 0.0000 0.0000 0.7808 [2 per cell]

***

DFT (PBE) results for a relaxed structure of Tb2CeInO.

E_form (uncorrected) = -1.363 eV/atom

abc: 4.8431 4.8431 4.8809
angles: 90.00 90.00 90.00
Space group P4/mmm (No. 123)
Inequivalent atoms, fractional coordinates:
Tb 0.0000 0.5000 0.0000 [2 per cell]
Ce 0.0000 0.0000 0.5000 [1 per cell]
In 0.5000 0.5000 0.5000 [1 per cell]
O 0.0000 0.0000 0.0000 [1 per cell]

***

DFT (PBE) results for a relaxed structure of CeSm3Dy2Se6.

E_form (uncorrected) = -1.799 eV/atom

abc: 7.1627 12.4506 7.1883
angles: 90.00 109.57 90.00
Space group C2/m (No. 12)
Inequivalent atoms, fractional coordinates:
Ce 0.0000 0.0000 0.0000 [2 per cell]
Sm 0.0000 0.1652 0.5000 [4 per cell]
Sm 0.0000 0.5000 0.5000 [2 per cell]
Dy 0.0000 0.3327 0.0000 [4 per cell]
Se 0.2415 0.5000 0.2432 [4 per cell]
Se 0.2486 0.3304 0.7548 [8 per cell]

***

DFT (PBE) results for a relaxed structure of Li2ZrTa.

DFT formation energy = 0.49 eV/atom
excess energy over the best structure of this formula in the dataset = 0.282 eV per atom

abc: 2.7260 5.0467 5.5122
angles: 90.00 90.00 90.00
Space group Pmmm (No. 47)
Inequivalent atoms, fractional coordinates:
Li 0.0000 0.0000 0.2317 [2 per cell]
Zr 0.5000 0.5000 0.5000 [1 per cell]
Ta 0.5000 0.5000 0.0000 [1 per cell]

***

DFT (PBE) results for a relaxed structure of B2C.

DFT formation energy = 0.43 eV/atom
excess energy over the best structure of this formula in the dataset = 0.242 eV per atom

abc: 9.3158 2.6269 7.7243
angles: 90.00 111.21 90.00
Space group Cm (No. 8)
Inequivalent atoms, fractional coordinates:
B 0.0000 0.0000 0.0000 [2 per cell]
B 0.0114 0.5000 0.1753 [2 per cell]
B 0.0399 0.0000 0.5631 [2 per cell]
B 0.0849 0.5000 0.9085 [2 per cell]
B 0.2014 0.0000 0.0263 [2 per cell]
B 0.3007 0.5000 0.2798 [2 per cell]
B 0.3511 0.5000 0.7842 [2 per cell]
B 0.4748 0.0000 0.6700 [2 per cell]
C 0.1663 0.0000 0.4756 [2 per cell]
C 0.1671 0.5000 0.3633 [2 per cell]
C 0.2999 0.0000 0.6675 [2 per cell]
C 0.3467 0.0000 0.2046 [2 per cell]

***

DFT (PBE) results for a relaxed structure of Y2TiGa3Pt4.

DFT formation energy = -0.97 eV/atom

abc: 4.0920 4.0920 11.2060
angles: 90.00 90.00 90.00
Space group P-4m2 (No. 115)
Inequivalent atoms, fractional coordinates:
Y 0.0000 0.5000 0.2428 [2 per cell]
Ti 0.0000 0.0000 0.5000 [1 per cell]
Ga 0.0000 0.5000 0.8654 [2 per cell]
Ga 0.5000 0.5000 0.5000 [1 per cell]
Pt 0.0000 0.0000 0.0000 [1 per cell]
Pt 0.0000 0.5000 0.6439 [2 per cell]
Pt 0.5000 0.5000 0.0000 [1 per cell]